A relaxed TiGaHPd2 crystal, computed with GGA-PBE.

Lattice parameters (Å, degrees): 3.950 3.950 4.138 90.00 90.00 90.00
Fractional coordinates of all 5 atoms:
Ti 0.000 0.000 0.000
Ga 0.500 0.500 0.000
H 0.000 0.000 0.500
Pd 0.000 0.500 0.500
Pd 0.500 0.000 0.500

Output
* space group: P4/mmm
* V: 64.6 Å³/cell
* total energy: -5.31 eV/atom